# 1
This record from the Alexandria database describes a geometry-optimized Ag3Pb5Cl12 structure. The functional is PBE-GGA.

## Properties
theoretical density: 4.7 Mg/m³
calculated volume: 2535.98 Å³/cell
M_tot: 0.00 Bohr magnetons per cell
formation energy without anion corrections: -14.27 eV/f.u.

Lattice parameters (Å, degrees): 14.8795 14.8795 14.8795 109.47 109.47 109.47
Atoms (fractional coordinates):
Ag 0.7500 0.3750 0.1250
Ag 0.8750 0.7500 0.1250
Ag 0.3750 0.7500 0.6250
Ag 0.2500 0.1250 0.3750
Ag 0.8750 0.1250 0.2500
Ag 0.3750 0.6250 0.2500
Ag 0.6250 0.3750 0.7500
Ag 0.1250 0.8750 0.7500
Ag 0.7500 0.8750 0.6250
Ag 0.6250 0.2500 0.3750
Ag 0.1250 0.2500 0.8750
Ag 0.2500 0.6250 0.8750
Pb 0.1250 0.3750 0.2500
Pb 0.0000 0.5000 0.0000
Pb 0.0000 0.0000 0.0000
Pb 0.3750 0.2500 0.1250
Pb 0.5000 0.0000 0.5000
Pb 0.5000 0.5000 0.0000
Pb 0.1250 0.7500 0.3750
Pb 0.7500 0.1250 0.8750
Pb 0.7500 0.6250 0.3750
Pb 0.3750 0.1250 0.7500
Pb 0.6250 0.8750 0.2500
Pb 0.5000 0.5000 0.5000
Pb 0.5000 0.0000 0.0000
Pb 0.0000 0.0000 0.5000
Pb 0.2500 0.3750 0.6250
Pb 0.2500 0.8750 0.1250
Pb 0.0000 0.5000 0.5000
Pb 0.8750 0.2500 0.6250
Pb 0.6250 0.7500 0.8750
Pb 0.8750 0.6250 0.7500
Cl 0.7280 0.1187 0.0531
Cl 0.3251 0.5531 0.4344
Cl 0.9469 0.3813 0.2720
Cl 0.5531 0.2280 0.1187
Cl 0.6092 0.7280 0.6749
Cl 0.9469 0.5656 0.1749
Cl 0.3251 0.7720 0.3908
Cl 0.0656 0.8908 0.1187
Cl 0.5656 0.9469 0.6749
Cl 0.7280 0.6092 0.1749
Cl 0.7720 0.4469 0.3813
Cl 0.8251 0.9344 0.0531
Cl 0.1187 0.7280 0.5531
Cl 0.3813 0.4344 0.1092
Cl 0.1092 0.9344 0.3813
Cl 0.3908 0.1187 0.5656
Cl 0.1092 0.1749 0.2280
Cl 0.4469 0.6749 0.0656
Cl 0.8251 0.8908 0.2720
Cl 0.1187 0.3908 0.0656
Cl 0.3813 0.9469 0.7720
Cl 0.5656 0.6187 0.3908
Cl 0.9344 0.8251 0.5531
Cl 0.7720 0.3251 0.8908
Cl 0.4344 0.3813 0.6092
Cl 0.0656 0.1749 0.4469
Cl 0.2280 0.6749 0.1092
Cl 0.1749 0.1092 0.7280
Cl 0.6187 0.0531 0.2280
Cl 0.8813 0.6092 0.9344
Cl 0.5531 0.3251 0.9344
Cl 0.6092 0.8813 0.4344
Cl 0.8908 0.8251 0.7720
Cl 0.8908 0.0656 0.6187
Cl 0.8813 0.2720 0.4469
Cl 0.1749 0.0656 0.9469
Cl 0.6187 0.5656 0.8908
Cl 0.4344 0.0531 0.3251
Cl 0.2720 0.3908 0.8251
Cl 0.2280 0.5531 0.6187
Cl 0.9344 0.1092 0.8813
Cl 0.6749 0.2280 0.6092
Cl 0.4469 0.7720 0.8813
Cl 0.0531 0.4344 0.8251
Cl 0.3908 0.2720 0.3251
Cl 0.0531 0.6187 0.7280
Cl 0.6749 0.4469 0.5656
Cl 0.2720 0.8813 0.9469

# 2
This record from the Alexandria database describes a geometry-optimized Tl2FePd2 structure. The functional is PBE-GGA.

## Properties
formation enthalpy at 0 K: 0.18 eV/atom
energy above the most stable polymorph in this dataset: 0 meV/atom
theoretical density: 11.5 Mg/m³
calculated volume: 195.34 Å³/cell
M_tot: 6.88 Bohr magnetons per cell

Lattice parameters (Å, degrees): 6.7724 6.7724 4.2591 90.00 90.00 90.00
Atoms (fractional coordinates):
Tl 0.1685 0.6685 0.5000
Tl 0.6685 0.8315 0.5000
Tl 0.8315 0.3315 0.5000
Tl 0.3315 0.1685 0.5000
Fe 0.0000 0.0000 0.0000
Fe 0.5000 0.5000 0.0000
Pd 0.3552 0.8552 0.0000
Pd 0.8552 0.6448 0.0000
Pd 0.6448 0.1448 0.0000
Pd 0.1448 0.3552 0.0000

# 3
This record from the Alexandria database describes a geometry-optimized LiNpAu6 structure. The functional is PBE-GGA.

## Properties
formation enthalpy at 0 K: -0.23 eV/atom
theoretical density: 15.4 Mg/m³
calculated volume: 153.59 Å³/cell
M_tot: 4.04 Bohr magnetons per cell

Lattice parameters (Å, degrees): 4.6120 4.8835 8.0792 84.29 73.42 61.82
Atoms (fractional coordinates):
Li 0.0000 0.0000 0.0000
Np 0.0000 0.5000 0.5000
Au 0.2407 0.8587 0.6598
Au 0.5182 0.2194 0.7442
Au 0.2474 0.3988 0.1064
Au 0.4818 0.7806 0.2558
Au 0.7593 0.1413 0.3402
Au 0.7526 0.6012 0.8936

# 4
This record from the Alexandria database describes a geometry-optimized LiPmNdCu structure. The functional is PBE-GGA.

## Properties
formation enthalpy at 0 K: 0.02 eV/atom
theoretical density: 6.1 Mg/m³
calculated volume: 98.17 Å³/cell
M_tot: 0.18 Bohr magnetons per cell

Lattice parameters (Å, degrees): 5.1780 5.1780 5.1780 60.00 60.00 60.00
Atoms (fractional coordinates):
Li 0.7500 0.7500 0.7500
Nd 0.0000 0.0000 0.0000
Cu 0.2500 0.2500 0.2500
Pm 0.5000 0.5000 0.5000